1.
Computed, not measured: crystalline Ta2ZnNi at its relaxed geometry at the PBE level of DFT.

```
data_Ta2ZnNi
_chemical_formula_sum 'Ta2 Zn1 Ni1'
_cell_length_a 3.216
_cell_length_b 3.216
_cell_length_c 6.007
_cell_angle_alpha 90.00
_cell_angle_beta 90.00
_cell_angle_gamma 90.00
_space_group_name_H-M_alt 'P 1'
_space_group_IT_number 1
_space_group_name_Hall 'P 1'
loop_
_atom_site_label
_atom_site_fract_x
_atom_site_fract_y
_atom_site_fract_z
_atom_site_occupancy
Ni1 0.500 0.500 0.739 1
Zn1 0.000 0.000 0.522 1
Ta1 0.500 0.500 0.262 1
Ta2 0.000 0.000 0.977 1
```



2.
Computed, not measured: crystalline TaZn2Ni at its relaxed geometry at the PBE level of DFT.

```
data_TaZn2Ni
_chemical_formula_sum 'Ta1 Zn2 Ni1'
_cell_length_a 4.309
_cell_length_b 4.309
_cell_length_c 4.309
_cell_angle_alpha 60.00
_cell_angle_beta 60.00
_cell_angle_gamma 60.00
_space_group_name_H-M_alt 'P 1'
_space_group_IT_number 1
_space_group_name_Hall 'P 1'
loop_
_atom_site_label
_atom_site_fract_x
_atom_site_fract_y
_atom_site_fract_z
_atom_site_occupancy
Ni1 0.500 0.500 0.500 1
Zn1 0.750 0.750 0.750 1
Ta1 0.250 0.250 0.250 1
Zn2 0.000 0.000 0.000 1
```

Calculated values
Energy above the most stable polymorph in this dataset in meV/atom: 76



3.
Computed, not measured: crystalline TaZn2Ni at its relaxed geometry at the PBE level of DFT.

```
data_TaZn2Ni
_chemical_formula_sum 'Ta1 Zn2 Ni1'
_cell_length_a 4.129
_cell_length_b 3.738
_cell_length_c 3.738
_cell_angle_alpha 90.00
_cell_angle_beta 90.00
_cell_angle_gamma 90.00
_space_group_name_H-M_alt 'P 1'
_space_group_IT_number 1
_space_group_name_Hall 'P 1'
loop_
_atom_site_label
_atom_site_fract_x
_atom_site_fract_y
_atom_site_fract_z
_atom_site_occupancy
Ni1 0.500 0.500 0.000 1
Zn1 0.000 0.500 0.500 1
Ta1 0.500 0.000 0.500 1
Zn2 0.000 0.000 0.000 1
```

Calculated values
Energy above the most stable polymorph in this dataset in meV/atom: 115



4.
Computed, not measured: crystalline Ta2ZnNi at its relaxed geometry at the PBE level of DFT.

```
data_Ta2ZnNi
_chemical_formula_sum 'Ta2 Zn1 Ni1'
_cell_length_a 9.359
_cell_length_b 9.359
_cell_length_c 9.359
_cell_angle_alpha 17.30
_cell_angle_beta 17.30
_cell_angle_gamma 17.30
_space_group_name_H-M_alt 'P 1'
_space_group_IT_number 1
_space_group_name_Hall 'P 1'
loop_
_atom_site_label
_atom_site_fract_x
_atom_site_fract_y
_atom_site_fract_z
_atom_site_occupancy
Ni1 0.750 0.750 0.750 1
Ta1 0.495 0.495 0.495 1
Zn1 0.250 0.250 0.250 1
Ta2 0.005 0.005 0.005 1
```



5.
Computed, not measured: crystalline TaZn2Ni at its relaxed geometry at the PBE level of DFT.

```
data_TaZn2Ni
_chemical_formula_sum 'Ta1 Zn2 Ni1'
_cell_length_a 5.375
_cell_length_b 5.375
_cell_length_c 4.616
_cell_angle_alpha 64.49
_cell_angle_beta 64.49
_cell_angle_gamma 29.01
_space_group_name_H-M_alt 'P 1'
_space_group_IT_number 1
_space_group_name_Hall 'P 1'
loop_
_atom_site_label
_atom_site_fract_x
_atom_site_fract_y
_atom_site_fract_z
_atom_site_occupancy
Ni1 0.750 0.750 0.750 1
Zn1 0.023 0.023 0.977 1
Ta1 0.250 0.250 0.250 1
Zn2 0.477 0.477 0.523 1
```

Calculated values
Energy above the most stable polymorph in this dataset in meV/atom: 104



6.
Computed, not measured: crystalline TaZn5Ni6 at its relaxed geometry at the PBE level of DFT.

```
data_TaZn5Ni6
_chemical_formula_sum 'Ta1 Zn5 Ni6'
_cell_length_a 3.867
_cell_length_b 6.862
_cell_length_c 5.996
_cell_angle_alpha 90.00
_cell_angle_beta 71.19
_cell_angle_gamma 90.00
_space_group_name_H-M_alt 'P 1'
_space_group_IT_number 1
_space_group_name_Hall 'P 1'
loop_
_atom_site_label
_atom_site_fract_x
_atom_site_fract_y
_atom_site_fract_z
_atom_site_occupancy
Ni1 0.167 0.747 0.666 1
Ni2 0.833 0.747 0.334 1
Ni3 0.500 0.245 0.000 1
Zn1 0.673 0.000 0.655 1
Ni4 0.167 0.253 0.666 1
Zn2 0.327 0.000 0.345 1
Ni5 0.833 0.253 0.334 1
Zn3 0.337 0.500 0.327 1
Zn4 0.663 0.500 0.673 1
Ta1 0.000 0.000 0.000 1
Ni6 0.500 0.755 0.000 1
Zn5 0.000 0.500 0.000 1
```



7.
Computed, not measured: crystalline TaZnNi2 at its relaxed geometry at the PBE level of DFT.

```
data_TaZnNi2
_chemical_formula_sum 'Ta1 Zn1 Ni2'
_cell_length_a 4.399
_cell_length_b 4.399
_cell_length_c 4.851
_cell_angle_alpha 81.62
_cell_angle_beta 81.62
_cell_angle_gamma 35.76
_space_group_name_H-M_alt 'P 1'
_space_group_IT_number 1
_space_group_name_Hall 'P 1'
loop_
_atom_site_label
_atom_site_fract_x
_atom_site_fract_y
_atom_site_fract_z
_atom_site_occupancy
Zn1 0.750 0.750 0.750 1
Ni1 0.496 0.496 0.504 1
Ta1 0.250 0.250 0.250 1
Ni2 0.004 0.004 0.996 1
```



8.
Computed, not measured: crystalline TaZnNi at its relaxed geometry at the PBE level of DFT.

```
data_TaZnNi
_chemical_formula_sum 'Ta1 Zn1 Ni1'
_cell_length_a 4.074
_cell_length_b 4.074
_cell_length_c 4.074
_cell_angle_alpha 60.00
_cell_angle_beta 60.00
_cell_angle_gamma 60.00
_space_group_name_H-M_alt 'P 1'
_space_group_IT_number 1
_space_group_name_Hall 'P 1'
loop_
_atom_site_label
_atom_site_fract_x
_atom_site_fract_y
_atom_site_fract_z
_atom_site_occupancy
Ta1 0.000 0.000 0.000 1
Zn1 0.500 0.500 0.500 1
Ni1 0.750 0.750 0.750 1
```



9.
Computed, not measured: crystalline TaZn2Ni at its relaxed geometry at the PBE level of DFT.

```
data_TaZn2Ni
_chemical_formula_sum 'Ta1 Zn2 Ni1'
_cell_length_a 2.823
_cell_length_b 2.823
_cell_length_c 7.125
_cell_angle_alpha 90.00
_cell_angle_beta 90.00
_cell_angle_gamma 90.00
_space_group_name_H-M_alt 'P 1'
_space_group_IT_number 1
_space_group_name_Hall 'P 1'
loop_
_atom_site_label
_atom_site_fract_x
_atom_site_fract_y
_atom_site_fract_z
_atom_site_occupancy
Ni1 0.500 0.500 0.250 1
Zn1 0.000 0.000 0.467 1
Zn2 0.000 0.000 0.033 1
Ta1 0.500 0.500 0.750 1
```

Calculated values
Energy above the most stable polymorph in this dataset in meV/atom: 34



10.
Computed, not measured: crystalline TaZn2Ni at its relaxed geometry at the PBE level of DFT.

```
data_TaZn2Ni
_chemical_formula_sum 'Ta1 Zn2 Ni1'
_cell_length_a 8.940
_cell_length_b 8.940
_cell_length_c 8.940
_cell_angle_alpha 17.89
_cell_angle_beta 17.89
_cell_angle_gamma 17.89
_space_group_name_H-M_alt 'P 1'
_space_group_IT_number 1
_space_group_name_Hall 'P 1'
loop_
_atom_site_label
_atom_site_fract_x
_atom_site_fract_y
_atom_site_fract_z
_atom_site_occupancy
Zn1 0.991 0.991 0.991 1
Ta1 0.750 0.750 0.750 1
Ni1 0.250 0.250 0.250 1
Zn2 0.509 0.509 0.509 1
```

Calculated values
Energy above the most stable polymorph in this dataset in meV/atom: 180



11.
Computed, not measured: crystalline TaZnNi at its relaxed geometry at the PBE level of DFT.

```
data_TaZnNi
_chemical_formula_sum 'Ta1 Zn1 Ni1'
_cell_length_a 2.801
_cell_length_b 2.801
_cell_length_c 6.555
_cell_angle_alpha 90.00
_cell_angle_beta 90.00
_cell_angle_gamma 120.00
_space_group_name_H-M_alt 'P 1'
_space_group_IT_number 1
_space_group_name_Hall 'P 1'
loop_
_atom_site_label
_atom_site_fract_x
_atom_site_fract_y
_atom_site_fract_z
_atom_site_occupancy
Ta1 0.333 0.667 0.317 1
Zn1 0.667 0.333 0.688 1
Ni1 0.000 0.000 0.995 1
```



12.
Computed, not measured: crystalline TaZnNi at its relaxed geometry at the PBE level of DFT.

```
data_TaZnNi
_chemical_formula_sum 'Ta1 Zn1 Ni1'
_cell_length_a 4.652
_cell_length_b 4.652
_cell_length_c 4.652
_cell_angle_alpha 145.89
_cell_angle_beta 129.72
_cell_angle_gamma 62.16
_space_group_name_H-M_alt 'P 1'
_space_group_IT_number 1
_space_group_name_Hall 'P 1'
loop_
_atom_site_label
_atom_site_fract_x
_atom_site_fract_y
_atom_site_fract_z
_atom_site_occupancy
Ni1 0.004 0.004 0.000 1
Zn1 0.663 0.663 0.000 1
Ta1 0.332 0.332 0.000 1
```



13.
Computed, not measured: crystalline Ta3ZnNi at its relaxed geometry at the PBE level of DFT.

```
data_Ta3ZnNi
_chemical_formula_sum 'Ta3 Zn1 Ni1'
_cell_length_a 4.597
_cell_length_b 4.597
_cell_length_c 4.597
_cell_angle_alpha 90.00
_cell_angle_beta 90.00
_cell_angle_gamma 90.00
_space_group_name_H-M_alt 'P 1'
_space_group_IT_number 1
_space_group_name_Hall 'P 1'
loop_
_atom_site_label
_atom_site_fract_x
_atom_site_fract_y
_atom_site_fract_z
_atom_site_occupancy
Ni1 0.000 0.000 0.000 1
Ta1 0.500 0.000 0.000 1
Ta2 0.000 0.000 0.500 1
Ta3 0.000 0.500 0.000 1
Zn1 0.500 0.500 0.500 1
```

Calculated values
Energy above the most stable polymorph in this dataset in meV/atom: 0



14.
Computed, not measured: crystalline TaZnNi4 at its relaxed geometry at the PBE level of DFT.

```
data_TaZnNi4
_chemical_formula_sum 'Ta2 Zn2 Ni8'
_cell_length_a 3.452
_cell_length_b 4.574
_cell_length_c 11.244
_cell_angle_alpha 67.14
_cell_angle_beta 90.05
_cell_angle_gamma 112.22
_space_group_name_H-M_alt 'P 1'
_space_group_IT_number 1
_space_group_name_Hall 'P 1'
loop_
_atom_site_label
_atom_site_fract_x
_atom_site_fract_y
_atom_site_fract_z
_atom_site_occupancy
Ni1 0.003 0.506 0.832 1
Ni2 0.751 0.002 0.417 1
Ta1 0.000 0.500 0.500 1
Zn1 0.750 0.000 0.750 1
Ni3 0.749 0.998 0.083 1
Ni4 0.497 0.494 0.668 1
Ni5 0.503 0.506 0.332 1
Zn2 0.250 0.000 0.250 1
Ni6 0.251 0.002 0.917 1
Ta2 0.500 0.500 0.000 1
Ni7 0.997 0.494 0.168 1
Ni8 0.249 0.998 0.583 1
```



15.
Computed, not measured: crystalline Ta2ZnNi3 at its relaxed geometry at the PBE level of DFT.

```
data_Ta2ZnNi3
_chemical_formula_sum 'Ta4 Zn2 Ni6'
_cell_length_a 4.903
_cell_length_b 4.903
_cell_length_c 7.745
_cell_angle_alpha 90.00
_cell_angle_beta 90.00
_cell_angle_gamma 120.00
_space_group_name_H-M_alt 'P 1'
_space_group_IT_number 1
_space_group_name_Hall 'P 1'
loop_
_atom_site_label
_atom_site_fract_x
_atom_site_fract_y
_atom_site_fract_z
_atom_site_occupancy
Zn1 0.000 0.000 0.500 1
Ni1 0.828 0.172 0.750 1
Ta1 0.333 0.667 0.945 1
Ni2 0.344 0.172 0.750 1
Ta2 0.333 0.667 0.555 1
Zn2 0.000 0.000 0.000 1
Ni3 0.172 0.344 0.250 1
Ta3 0.667 0.333 0.055 1
Ta4 0.667 0.333 0.445 1
Ni4 0.656 0.828 0.250 1
Ni5 0.172 0.828 0.250 1
Ni6 0.828 0.656 0.750 1
```



16.
Computed, not measured: crystalline TaZnNi at its relaxed geometry at the PBE level of DFT.

```
data_TaZnNi
_chemical_formula_sum 'Ta2 Zn2 Ni2'
_cell_length_a 4.241
_cell_length_b 2.741
_cell_length_c 7.388
_cell_angle_alpha 90.00
_cell_angle_beta 90.00
_cell_angle_gamma 90.00
_space_group_name_H-M_alt 'P 1'
_space_group_IT_number 1
_space_group_name_Hall 'P 1'
loop_
_atom_site_label
_atom_site_fract_x
_atom_site_fract_y
_atom_site_fract_z
_atom_site_occupancy
Zn1 0.250 0.500 0.081 1
Ta1 0.750 0.000 0.284 1
Ni1 0.250 0.500 0.410 1
Ni2 0.750 0.500 0.590 1
Ta2 0.250 0.000 0.716 1
Zn2 0.750 0.500 0.919 1
```



17.
Computed, not measured: crystalline TaZn2Ni at its relaxed geometry at the PBE level of DFT.

```
data_TaZn2Ni
_chemical_formula_sum 'Ta1 Zn2 Ni1'
_cell_length_a 4.506
_cell_length_b 4.506
_cell_length_c 4.506
_cell_angle_alpha 126.61
_cell_angle_beta 126.61
_cell_angle_gamma 78.88
_space_group_name_H-M_alt 'P 1'
_space_group_IT_number 1
_space_group_name_Hall 'P 1'
loop_
_atom_site_label
_atom_site_fract_x
_atom_site_fract_y
_atom_site_fract_z
_atom_site_occupancy
Zn1 0.000 0.000 0.000 1
Ta1 0.750 0.250 0.500 1
Zn2 0.500 0.500 0.000 1
Ni1 0.250 0.750 0.500 1
```

Calculated values
Energy above the most stable polymorph in this dataset in meV/atom: 237



18.
Computed, not measured: crystalline TaZnNi2 at its relaxed geometry at the PBE level of DFT.

```
data_TaZnNi2
_chemical_formula_sum 'Ta1 Zn1 Ni2'
_cell_length_a 9.688
_cell_length_b 5.535
_cell_length_c 5.535
_cell_angle_alpha 27.05
_cell_angle_beta 28.93
_cell_angle_gamma 28.93
_space_group_name_H-M_alt 'P 1'
_space_group_IT_number 1
_space_group_name_Hall 'P 1'
loop_
_atom_site_label
_atom_site_fract_x
_atom_site_fract_y
_atom_site_fract_z
_atom_site_occupancy
Ta1 0.500 0.000 0.000 1
Ni1 0.749 0.000 0.000 1
Ni2 0.251 0.000 0.000 1
Zn1 0.000 0.000 0.000 1
```



19.
Computed, not measured: crystalline TaZnNi2 at its relaxed geometry at the PBE level of DFT.

```
data_TaZnNi2
_chemical_formula_sum 'Ta1 Zn1 Ni2'
_cell_length_a 4.188
_cell_length_b 2.706
_cell_length_c 4.868
_cell_angle_alpha 77.56
_cell_angle_beta 90.00
_cell_angle_gamma 90.00
_space_group_name_H-M_alt 'P 1'
_space_group_IT_number 1
_space_group_name_Hall 'P 1'
loop_
_atom_site_label
_atom_site_fract_x
_atom_site_fract_y
_atom_site_fract_z
_atom_site_occupancy
Ni1 0.500 0.073 0.269 1
Ta1 0.000 0.497 0.454 1
Ni2 0.000 0.157 0.971 1
Zn1 0.500 0.772 0.806 1
```



20.
Computed, not measured: crystalline TaZnNi at its relaxed geometry at the PBE level of DFT.

```
data_TaZnNi
_chemical_formula_sum 'Ta1 Zn1 Ni1'
_cell_length_a 4.254
_cell_length_b 4.254
_cell_length_c 2.703
_cell_angle_alpha 90.00
_cell_angle_beta 90.00
_cell_angle_gamma 120.00
_space_group_name_H-M_alt 'P 1'
_space_group_IT_number 1
_space_group_name_Hall 'P 1'
loop_
_atom_site_label
_atom_site_fract_x
_atom_site_fract_y
_atom_site_fract_z
_atom_site_occupancy
Ta1 0.333 0.667 0.500 1
Zn1 0.667 0.333 0.000 1
Ni1 0.000 0.000 0.000 1
```



We obtain energy relative to the elements values of -0.1 -3.5 0.3 11.4 -0.9 -22.1 -6.6 7.5 -7.5 6.5 5.2 -1.7 85.8 -21.2 -19.7 -15.3 12.0 40.1 -12.3 -12.8 kJ per mole of atoms for the records listed above, in that order.